Entry A
First-principles (PBE) data for an optimized crystal structure of ZrCoGeAu, as listed in the Open Quantum Materials Database.

Space group: No. 216
M_tot in μB per formula unit: 0.5

Cell: 4.5558 4.5558 4.5558 Å, 60.00 60.00 60.00°
Each line ends with the local moment (μB).
Atoms (fractional coordinates):
Au1 0.2500 0.2500 0.2500  0.01
Ge1 0.0000 0.0000 0.0000  0.01
Co1 0.7500 0.7500 0.7500  0.61
Zr1 0.5000 0.5000 0.5000  -0.09



Entry B
First-principles (PBE) data for an optimized crystal structure of ZrCoGeAu, as listed in the Open Quantum Materials Database.

Space group: No. 216
M_tot in μB per formula unit: 0.5

Cell: 4.5242 4.5242 4.5242 Å, 60.00 60.00 60.00°
Atoms (fractional coordinates):
Ge1 0.5000 0.5000 0.5000
Co1 0.0000 0.0000 0.0000
Zr1 0.2500 0.2500 0.2500
Au1 0.7500 0.7500 0.7500



Entry C
First-principles (PBE) data for an optimized crystal structure of ZrCoGeAu, as listed in the Open Quantum Materials Database.

Space group: No. 216
M_tot in μB per formula unit: 0.6

Cell: 4.5456 4.5456 4.5456 Å, 60.00 60.00 60.00°
Atoms (fractional coordinates):
Au1 0.7500 0.7500 0.7500
Zr1 0.0000 0.0000 0.0000
Co1 0.5000 0.5000 0.5000
Ge1 0.2500 0.2500 0.2500



Relative energies with respect to the most stable structure, expressed in eV/atom: entry A 0.073; entry B 0.080; entry C 0.000.